1.
Al3HgF: relaxed, GGA-PBE.

Cell and atoms, written as CIF:
```
data_Al3HgF
_space_group_name_H-M_alt 'P m -3 m'
_space_group_IT_number 221
_space_group_name_Hall '-P 4 2 3'
_cell_length_a 4.560
_cell_length_b 4.560
_cell_length_c 4.560
_cell_angle_alpha 90.00
_cell_angle_beta 90.00
_cell_angle_gamma 90.00
loop_
_atom_site_label
_atom_site_type_symbol
_atom_site_fract_x
_atom_site_fract_y
_atom_site_fract_z
Al1 Al 0.000 0.000 0.500
Hg1 Hg 0.500 0.500 0.500
F1 F 0.000 0.000 0.000
```

Computed properties:
Total magnetization: 0.00 μB/f.u.
D(E_F): 2.560 states/eV/f.u.
Uncorrected formation energy: -0.17 eV/atom
ΔE to the lowest computed polymorph: 0.000 eV per atom

2.
Tb12CeNd2: relaxed, GGA-PBE.

Cell and atoms, written as CIF:
```
data_Tb12CeNd2
_space_group_name_H-M_alt 'C 1 2/m 1'
_space_group_IT_number 12
_cell_length_a 7.100
_cell_length_b 11.395
_cell_length_c 24.532
_cell_angle_alpha 90.00
_cell_angle_beta 97.85
_cell_angle_gamma 90.00
loop_
_space_group_symop_operation_xyz
'x,y,z'
'-x,-y,-z'
'-x,y,-z'
'x,-y,z'
'x+1/2,y+1/2,z'
'-x+1/2,-y+1/2,-z'
'-x+1/2,y+1/2,-z'
'x+1/2,-y+1/2,z'
loop_
_atom_site_label
_atom_site_type_symbol
_atom_site_fract_x
_atom_site_fract_y
_atom_site_fract_z
Tb1 Tb 0.024 0.244 0.302
Tb2 Tb 0.039 0.000 0.373
Tb3 Tb 0.045 0.250 0.829
Tb4 Tb 0.045 0.500 0.363
Tb5 Tb 0.088 0.500 0.925
Tb6 Tb 0.094 0.000 0.929
Tb7 Tb 0.151 0.248 0.056
Tb8 Tb 0.154 0.264 0.570
Ce1 Ce 0.189 0.000 0.510
Nd1 Nd 0.232 0.000 0.228
Nd2 Nd 0.232 0.500 0.228
```

Computed properties:
Total magnetization: 0.69 μB/f.u.
Energy of formation from the pure elements: 0.13 eV per atom
D(E_F): 23.427 states/eV/f.u.

3.
Dy3Al3Os2: relaxed, GGA-PBE.

Cell and atoms, written as CIF:
```
data_Dy3Al3Os2
_space_group_name_H-M_alt 'P n m a'
_space_group_IT_number 62
_cell_length_a 7.652
_cell_length_b 15.312
_cell_length_c 5.762
_cell_angle_alpha 90.00
_cell_angle_beta 90.00
_cell_angle_gamma 90.00
loop_
_space_group_symop_operation_xyz
'x,y,z'
'-x,-y,-z'
'-x+1/2,-y,z+1/2'
'x+1/2,y,-z+1/2'
'x+1/2,-y+1/2,-z+1/2'
'-x+1/2,y+1/2,z+1/2'
'-x,y+1/2,-z'
'x,-y+1/2,z'
loop_
_atom_site_label
_atom_site_type_symbol
_atom_site_fract_x
_atom_site_fract_y
_atom_site_fract_z
Dy1 Dy 0.035 0.108 0.104
Dy2 Dy 0.172 0.250 0.633
Al1 Al 0.162 0.034 0.595
Al2 Al 0.171 0.750 0.617
Os1 Os 0.133 0.608 0.373
```

Computed properties:
Total magnetization: 0.00 μB/f.u.
Energy of formation from the pure elements: -0.46 eV per atom
D(E_F): 5.569 states/eV/f.u.

4.
PaMnTcGe: relaxed, GGA-PBE.

Cell and atoms, written as CIF:
```
data_PaMnTcGe
_space_group_name_H-M_alt 'F -4 3 m'
_space_group_IT_number 216
_space_group_name_Hall 'F -4 2 3'
_cell_length_a 6.419
_cell_length_b 6.419
_cell_length_c 6.419
_cell_angle_alpha 90.00
_cell_angle_beta 90.00
_cell_angle_gamma 90.00
loop_
_atom_site_label
_atom_site_type_symbol
_atom_site_fract_x
_atom_site_fract_y
_atom_site_fract_z
Pa1 Pa 0.000 0.000 0.000
Mn1 Mn 0.250 0.250 0.250
Tc1 Tc 0.250 0.250 0.750
Ge1 Ge 0.000 0.000 0.500
```

Computed properties:
Total magnetization: 0.74 μB/f.u.
Energy of formation from the pure elements: -0.14 eV per atom
D(E_F): 5.275 states/eV/f.u.

5.
Ce3ThSn: relaxed, GGA-PBE.

Cell and atoms, written as CIF:
```
data_Ce3ThSn
_space_group_name_H-M_alt 'I m m a'
_space_group_IT_number 74
_space_group_name_Hall '-I 2b 2'
_cell_length_a 5.540
_cell_length_b 12.049
_cell_length_c 9.317
_cell_angle_alpha 90.00
_cell_angle_beta 90.00
_cell_angle_gamma 90.00
loop_
_atom_site_label
_atom_site_type_symbol
_atom_site_fract_x
_atom_site_fract_y
_atom_site_fract_z
Ce1 Ce 0.000 0.082 0.166
Ce2 Ce 0.000 0.250 0.490
Th1 Th 0.000 0.250 0.848
Sn1 Sn 0.000 0.000 0.500
```

Computed properties:
Total magnetization: 2.54 μB/f.u.
Energy of formation from the pure elements: 0.06 eV per atom
D(E_F): 15.904 states/eV/f.u.

6.
ThZn2GaNi2: relaxed, GGA-PBE.

Cell and atoms, written as CIF:
```
data_ThZn2GaNi2
_space_group_name_H-M_alt 'P 4/m m m'
_space_group_IT_number 123
_space_group_name_Hall '-P 4 2'
_cell_length_a 4.383
_cell_length_b 4.383
_cell_length_c 5.710
_cell_angle_alpha 90.00
_cell_angle_beta 90.00
_cell_angle_gamma 90.00
loop_
_atom_site_label
_atom_site_type_symbol
_atom_site_fract_x
_atom_site_fract_y
_atom_site_fract_z
Th1 Th 0.000 0.000 0.000
Zn1 Zn 0.500 0.500 0.247
Ga1 Ga 0.000 0.000 0.500
Ni1 Ni 0.000 0.500 0.500
```

Computed properties:
Total magnetization: 0.00 μB/f.u.
Energy of formation from the pure elements: -0.07 eV per atom
D(E_F): 4.764 states/eV/f.u.

7.
LuAl3: relaxed, GGA-PBE.

Cell and atoms, written as CIF:
```
data_LuAl3
_space_group_name_H-M_alt 'P m -3 m'
_space_group_IT_number 221
_space_group_name_Hall '-P 4 2 3'
_cell_length_a 4.207
_cell_length_b 4.207
_cell_length_c 4.207
_cell_angle_alpha 90.00
_cell_angle_beta 90.00
_cell_angle_gamma 90.00
loop_
_atom_site_label
_atom_site_type_symbol
_atom_site_fract_x
_atom_site_fract_y
_atom_site_fract_z
Lu1 Lu 0.000 0.000 0.000
Al1 Al 0.000 0.500 0.500
```

Computed properties:
Total magnetization: 0.00 μB/f.u.
Energy of formation from the pure elements: -0.40 eV per atom
D(E_F): 1.693 states/eV/f.u.

8.
PuPa3Mn4N12: relaxed, GGA-PBE.

Cell and atoms, written as CIF:
```
data_PuPa3Mn4N12
_space_group_name_H-M_alt 'R 3 2'
_space_group_IT_number 155
_space_group_name_Hall 'R 3 2"'
_cell_length_a 11.1425
_cell_length_b 11.1425
_cell_length_c 8.4347
_cell_angle_alpha 90.00
_cell_angle_beta 90.00
_cell_angle_gamma 120.00
loop_
_atom_site_label
_atom_site_type_symbol
_atom_site_fract_x
_atom_site_fract_y
_atom_site_fract_z
Pu1 Pu 0.0000 0.0000 0.0000
Pa1 Pa 0.0000 0.5435 0.0000
Mn1 Mn 0.0000 0.0000 0.5000
Mn2 Mn 0.0000 0.4552 0.5000
N1 N 0.0000 0.6113 0.5000
N2 N 0.0000 0.8441 0.5000
N3 N 0.0277 0.1978 0.1695
```

Computed properties:
Total magnetization: 14.98 μB/f.u.
D(E_F): 10.934 states/eV/f.u.
Uncorrected formation energy: -0.55 eV/atom